1.
# CsYSnI6

A relaxed structure of CsYSnI6 (GGA-PBE, the Alexandria database).

## Properties
total magnetization = 0.00 μB per formula unit
space-group type = P312, No. 149
DFT total energy = -31.038 eV per cell
mass density = 3.76 g/cm³
raw formation energy = -10.42 eV per formula unit

Cell lengths 8.1378, 8.1379, 8.4960 Å; angles 90.01, 90.00, 59.99 degrees
Last column: nearest neighbours and their distance in Å.
Sites, in units of the cell vectors:
I: 0.0142 0.3672 0.2891  1 Y 3.05, 1 Sn 3.20
Cs: 0.0000 0.0000 0.0000  6 I 3.91
I: 0.6187 0.0141 0.2892  1 Y 3.05, 1 Sn 3.20
I: 0.6186 0.3672 0.7109  1 Y 3.05, 1 Sn 3.20
Sn: 0.6666 0.6666 0.5000  6 I 3.20
I: 0.3671 0.0142 0.7109  1 Y 3.05, 1 Sn 3.20
I: 0.0141 0.6187 0.7108  1 Y 3.05, 1 Sn 3.20
I: 0.3672 0.6186 0.2891  1 Y 3.05, 1 Sn 3.20
Y: 0.3333 0.3333 0.5000  6 I 3.05

---

2.
# SiTcAsBr2

A relaxed structure of SiTcAsBr2 (GGA-PBE, the Alexandria database).

## Properties
total magnetization = 2.04 μB per formula unit
space-group type = P4/mmm, No. 123
DFT total energy = -20.027 eV per cell
mass density = 4.73 g/cm³
raw formation energy = 3.76 eV per formula unit
E above lowest polymorph = 0.000 eV/atom

Cell lengths 5.1381, 5.1381, 4.8027 Å; angles 90.00, 90.00, 90.00 degrees
Last column: nearest neighbours and their distance in Å.
Sites, in units of the cell vectors:
As: 0.0000 0.0000 0.5000  2 Tc 2.40
Br: 0.0000 0.5000 0.0000  2 Tc 2.57
Tc: 0.0000 0.0000 0.0000  2 As 2.40, 4 Br 2.57
Si: 0.5000 0.5000 0.5000  8 Br 3.52, 4 As 3.63
Br: 0.5000 0.0000 0.0000  2 Tc 2.57

---

3.
# Sr2Mg6GaHg

A relaxed structure of Sr2Mg6GaHg (GGA-PBE, the Alexandria database).

## Properties
total magnetization = 0.00 μB per formula unit
space-group type = Pmmn, No. 59
DFT total energy = -34.474 eV per cell
calculated formation energy = -97.7 meV/atom
mass density = 3.41 g/cm³

Cell lengths 8.0737, 7.1594, 9.9666 Å; angles 90.00, 90.00, 90.00 degrees
Last column: nearest neighbours and their distance in Å.
Sites, in units of the cell vectors:
Sr: 0.0000 0.2421 0.2584  1 Ga 3.32, 1 Hg 3.43, 2 Mg 3.54-3.62
Mg: 0.6853 0.4435 0.5000  1 Ga 2.68, 1 Mg 2.99
Mg: 0.8147 0.5565 0.0000  1 Ga 2.68, 1 Mg 2.99
Sr: 0.5000 0.7579 0.7584  1 Ga 3.32, 1 Hg 3.43, 2 Mg 3.54-3.62
Ga: 0.0000 0.5613 0.5000  6 Mg 2.68-2.91
Mg: 0.3147 0.4435 0.5000  1 Ga 2.68, 1 Mg 2.99
Hg: 0.0000 0.9247 0.0000  6 Mg 2.78-3.03
Mg: 0.0000 0.7362 0.2516  1 Ga 2.77, 1 Hg 2.85
Sr: 0.0000 0.2421 0.7416  1 Ga 3.32, 1 Hg 3.43, 2 Mg 3.54-3.62
Mg: 0.6887 0.0920 0.0000  1 Hg 2.78, 1 Ga 2.91, 1 Mg 3.05
Mg: 0.1853 0.5565 0.0000  1 Ga 2.68, 1 Mg 2.99
Mg: 0.3113 0.0920 0.0000  1 Hg 2.78, 1 Ga 2.91, 1 Mg 3.05
Hg: 0.5000 0.0753 0.5000  6 Mg 2.78-3.03
Mg: 0.8113 0.9080 0.5000  1 Hg 2.78, 1 Ga 2.91, 1 Mg 3.05
Sr: 0.5000 0.7579 0.2416  1 Ga 3.32, 1 Hg 3.43, 2 Mg 3.54-3.62
Mg: 0.0000 0.7362 0.7484  1 Ga 2.77, 1 Hg 2.85
Mg: 0.1887 0.9080 0.5000  1 Hg 2.78, 1 Ga 2.91, 1 Mg 3.05
Mg: 0.5000 0.2638 0.2484  1 Ga 2.77, 1 Hg 2.85
Ga: 0.5000 0.4387 0.0000  6 Mg 2.68-2.91
Mg: 0.5000 0.2638 0.7516  1 Ga 2.77, 1 Hg 2.85

---

4.
# Ca3TiAg

A relaxed structure of Ca3TiAg (GGA-PBE, the Alexandria database).

## Properties
total magnetization = 0.00 μB per formula unit
space-group type = Pm-3m, No. 221
DFT total energy = -13.797 eV per cell
calculated formation energy = 590.7 meV/atom
mass density = 2.58 g/cm³
E above lowest polymorph = 0.000 eV/atom

Cell lengths 5.6247, 5.6247, 5.6247 Å; angles 90.00, 90.00, 90.00 degrees
Last column: nearest neighbours and their distance in Å.
Sites, in units of the cell vectors:
Ca: 0.0000 0.0000 0.5000  2 Ag 2.81
Ca: 0.0000 0.5000 0.0000  2 Ag 2.81
Ti: 0.5000 0.5000 0.5000  12 Ca 3.98
Ca: 0.5000 0.0000 0.0000  2 Ag 2.81
Ag: 0.0000 0.0000 0.0000  6 Ca 2.81

---

5.
# PrIn3Bi2

A relaxed structure of PrIn3Bi2 (GGA-PBE, the Alexandria database).

## Properties
total magnetization = 0.00 μB per formula unit
space-group type = C2/c, No. 15
DFT total energy = -44.531 eV per cell
calculated formation energy = -251.5 meV/atom
mass density = 8.47 g/cm³

Cell lengths 6.0410, 6.0410, 11.1376 Å; angles 102.27, 102.27, 110.25 degrees
Last column: nearest neighbours and their distance in Å.
Sites, in units of the cell vectors:
In: 0.5200 0.7749 0.0728  5 In 3.27-3.58, 5 Bi 3.35-3.66, 2 Pr 3.48-3.58
In: 0.6272 0.3728 0.2500  6 In 3.35-3.58, 4 Bi 3.40, 2 Pr 3.46
Bi: 0.0411 0.2948 0.0985  7 In 3.35-3.66, 3 Pr 3.39-3.62, 2 Bi 3.57-3.73
In: 0.7749 0.5200 0.5728  5 In 3.27-3.58, 5 Bi 3.35-3.66, 2 Pr 3.48-3.58
Bi: 0.2948 0.0411 0.5985  7 In 3.35-3.66, 3 Pr 3.39-3.62, 2 Bi 3.57-3.73
Bi: 0.9589 0.7052 0.9015  7 In 3.35-3.66, 3 Pr 3.39-3.62, 2 Bi 3.57-3.73
In: 0.3728 0.6272 0.7500  6 In 3.35-3.58, 4 Bi 3.40, 2 Pr 3.46
Pr: 0.1173 0.8827 0.2500  6 Bi 3.39-3.62, 6 In 3.46-3.58
In: 0.4800 0.2251 0.9272  5 In 3.27-3.58, 5 Bi 3.35-3.66, 2 Pr 3.48-3.58
In: 0.2251 0.4800 0.4272  5 In 3.27-3.58, 5 Bi 3.35-3.66, 2 Pr 3.48-3.58
Pr: 0.8827 0.1173 0.7500  6 Bi 3.39-3.62, 6 In 3.46-3.58
Bi: 0.7052 0.9589 0.4015  7 In 3.35-3.66, 3 Pr 3.39-3.62, 2 Bi 3.57-3.73

---

6.
# ThTlO

A relaxed structure of ThTlO (GGA-PBE, the Alexandria database).

## Properties
total magnetization = 0.00 μB per formula unit
space-group type = I4/mmm, No. 139
DFT total energy = -38.676 eV per cell
mass density = 11.26 g/cm³
raw formation energy = -4.59 eV per formula unit

Cell lengths 3.9100, 3.9100, 9.1586 Å; angles 102.33, 102.33, 90.00 degrees
Last column: nearest neighbours and their distance in Å.
Sites, in units of the cell vectors:
Tl: 0.7078 0.7078 0.4156  4 Tl 3.13, 4 Th 3.49
Th: 0.0854 0.0854 0.1707  4 O 2.46
O: 0.0000 0.5000 0.0000  4 Th 2.46
Th: 0.9146 0.9146 0.8293  4 O 2.46
Tl: 0.2922 0.2922 0.5844  4 Tl 3.13, 4 Th 3.49
O: 0.5000 0.0000 0.0000  4 Th 2.46